1.
KBaNi2: relaxed, GGA-PBE.

Calculated values
As for the calculated total energy: -3.455 eV/atom. The calculation puts the formation energy from the elements at 0.76 eV per formula unit. Its excess energy over the best structure of this formula in the dataset is 0 meV/atom. As for the volume: 261.4 Å³ per cell. The crystal system is monoclinic.

Lattice parameters (Å, degrees): 7.1538 4.1334 9.2016 90.00 106.08 90.00
Space group Cm (No. 8)
One atom of each set of equivalent atoms:
K: 0.0000 0.0000 0.0000 x2
Ba: 0.1770 0.0000 0.4992 x2
Ni: 0.2614 0.5000 0.2684 x2
Ni: 0.4280 0.0000 0.2683 x2

2.
KBa2NiPb: relaxed, GGA-PBE.

Calculated values
As for the calculated total energy: -2.968 eV/atom. The calculation puts the formation energy from the elements at -0.41 eV per formula unit. As for the volume: 201.5 Å³ per cell. The crystal system is tetragonal.

Lattice parameters (Å, degrees): 6.2513 6.2513 5.1555 90.00 90.00 90.00
Space group P4/mmm (No. 123)
One atom of each set of equivalent atoms:
K: 0.0000 0.0000 0.0000 x1
Ba: 0.0000 0.5000 0.5000 x2
Ni: 0.5000 0.5000 0.5000 x1
Pb: 0.5000 0.5000 0.0000 x1